[1]
The following is a DFT calculation (PBE) of a relaxed structure of Tb2Sm2Ho15.

Values from the calculation:
* uncorrected energy: -4.313 eV per atom
* symmetry: R-3m (166)
* theoretical density: 8.2 Mg/m³

POSCAR file:
```
Tb2Sm2Ho15
1.0
-3.421 5.352 5.934
-8.069 0.839 -3.123
-4.215 -5.717 5.012
Tb Sm Ho
2 2 15
direct
0.096 0.096 0.096 Tb
0.904 0.904 0.904 Tb
0.325 0.325 0.325 Sm
0.675 0.675 0.675 Sm
0.000 0.000 0.500 Ho
0.500 0.000 0.000 Ho
0.000 0.500 0.000 Ho
0.299 0.701 0.000 Ho
0.000 0.299 0.701 Ho
0.701 0.000 0.299 Ho
0.000 0.701 0.299 Ho
0.299 0.000 0.701 Ho
0.701 0.299 0.000 Ho
0.631 0.631 0.149 Ho
0.149 0.631 0.631 Ho
0.631 0.149 0.631 Ho
0.369 0.369 0.851 Ho
0.851 0.369 0.369 Ho
0.369 0.851 0.369 Ho
```

[2]
The following is a DFT calculation (PBE) of a relaxed structure of InAsP2.

Values from the calculation:
* excess energy over the best structure of this formula in the dataset: 287 meV per atom
* uncorrected energy: -4.201 eV per atom
* symmetry: Imm2 (44)
* theoretical density: 5.3 Mg/m³

POSCAR file:
```
InAsP2
1.0
5.544 -0.019 -0.018
1.985 5.177 0.018
-2.897 -3.845 2.750
As In P
1 1 2
direct
0.549 0.549 0.000 As
0.237 0.737 0.500 In
0.943 0.943 0.000 P
0.771 0.271 0.500 P
```

What did the first record say?
The following is a DFT calculation (PBE) of a relaxed structure of Tb2Sm2Ho15.

Values from the calculation:
* uncorrected energy: -4.313 eV per atom
* symmetry: R-3m (166)
* theoretical density: 8.2 Mg/m³

POSCAR file:
```
Tb2Sm2Ho15
1.0
-3.421 5.352 5.934
-8.069 0.839 -3.123
-4.215 -5.717 5.012
Tb Sm Ho
2 2 15
direct
0.096 0.096 0.096 Tb
0.904 0.904 0.904 Tb
0.325 0.325 0.325 Sm
0.675 0.675 0.675 Sm
0.000 0.000 0.500 Ho
0.500 0.000 0.000 Ho
0.000 0.500 0.000 Ho
0.299 0.701 0.000 Ho
0.000 0.299 0.701 Ho
0.701 0.000 0.299 Ho
0.000 0.701 0.299 Ho
0.299 0.000 0.701 Ho
0.701 0.299 0.000 Ho
0.631 0.631 0.149 Ho
0.149 0.631 0.631 Ho
0.631 0.149 0.631 Ho
0.369 0.369 0.851 Ho
0.851 0.369 0.369 Ho
0.369 0.851 0.369 Ho
```